Tb2Sm2Ho2Tm | GGA-PBE | relaxed

The structure in extended XYZ format:
```
7
Lattice="-1.3832 4.6856 -2.8536 -5.0114 0.3515 -2.6027 -5.4269 4.8296 4.9518" Properties=species:S:1:pos:R:3 pbc="T T T"
Ho -6.6215 5.6129 1.2080
Ho -5.2000 4.2539 -1.7125
Tb -9.2241 7.7424 0.3571
Tb -2.5974 2.1244 -0.8616
Tm 0.0000 0.0000 0.0000
Sm -7.7703 6.3525 -2.6297
Sm -4.0511 3.5143 2.1252
```

Properties
* calculated formation energy: 0.1402 eV/atom



Tb3SmHo2Tm6 | GGA-PBE | relaxed

The structure in extended XYZ format:
```
12
Lattice="-2.9963 5.0453 -1.6716 -1.6488 -2.9874 5.0581 8.8389 5.6834 5.0140" Properties=species:S:1:pos:R:3 pbc="T T T"
Tm -1.2737 2.9645 3.7935
Tm 3.3712 4.4643 7.4203
Tm 1.2722 0.5975 3.2251
Tm 2.9217 7.1438 5.1754
Tm 0.8227 3.2771 0.9802
Tm 5.4675 4.7769 4.6070
Ho -2.0979 -0.3104 2.8153
Ho -2.5472 2.3683 0.5712
Tb 1.6480 6.5467 1.9583
Tb 2.5458 1.1946 6.4422
Tb 2.0969 3.8707 4.2002
Sm 0.0000 0.0000 0.0000
```

Properties
* calculated formation energy: 0.0212 eV/atom



Tb3Sm6HoTm2 | GGA-PBE | relaxed

The structure in extended XYZ format:
```
12
Lattice="-0.8434 5.6093 -2.5183 -4.8896 -3.6337 1.1856 1.0315 3.9807 11.0606" Properties=species:S:1:pos:R:3 pbc="T T T"
Tm -2.1921 2.5285 -1.2837
Tm -3.5409 -0.5529 -0.0489
Tb -2.3507 2.9782 4.8639
Tb -1.0025 6.0580 3.6298
Tb -3.6989 -0.1016 6.0981
Sm -2.8483 6.0158 6.6972
Sm -0.5031 3.0246 1.7948
Sm -4.0420 2.4695 1.7469
Sm -0.6594 3.4869 7.9810
Sm -4.1984 2.9317 7.9331
Sm -1.8532 -0.0595 3.0307
Ho 0.0000 0.0000 0.0000
```

Properties
* calculated formation energy: 0.0148 eV/atom



Tb2Sm6Ho3Tm | GGA-PBE | relaxed

The structure in extended XYZ format:
```
12
Lattice="-3.5283 4.8058 -1.7226 -2.4330 -4.5586 3.4368 4.9972 5.6023 9.1074" Properties=species:S:1:pos:R:3 pbc="T T T"
Sm -0.5414 2.8270 8.9721
Sm -0.9060 5.9441 7.2547
Sm -0.4227 3.0225 1.8495
Sm -0.0581 -0.0945 3.5669
Sm 2.2600 4.2608 7.2536
Sm -3.2240 1.5888 3.5680
Ho -0.4820 2.9248 5.4108
Ho -0.8473 6.0475 3.6903
Ho -0.1168 -0.1979 7.1313
Tb -2.7981 -1.4372 1.7170
Tb -3.1632 1.6844 -0.0029
Tm 0.0000 0.0000 0.0000
```

Properties
* calculated formation energy: 0.0142 eV/atom



What is the calculated formation energy in the first record?
0.1402 eV/atom



What is the calculated formation energy in the second record?
0.0212 eV/atom